A relaxed structure of SrRh3I. Source: Alexandria via LeMat-Bulk, functional PBE.

## Properties
* space-group type: Pm-3m
* ΔE_f (raw): 374 meV/atom

Lattice parameters (Å, degrees): 4.9295 4.9295 4.9295 90.00 90.00 90.00
Closest atoms and distances in Å follow each position.
Positions (direct):
Sr 0.0000 0.0000 0.0000  12 Rh 3.49
Rh 0.0000 0.5000 0.5000  2 I 2.46
Rh 0.5000 0.0000 0.5000  2 I 2.46
Rh 0.5000 0.5000 0.0000  2 I 2.46
I 0.5000 0.5000 0.5000  6 Rh 2.46